Below is crystalline In2SbPb2 at its relaxed geometry, with properties calculated at the PBE level.

Structure (POSCAR):
```
In2SbPb2
1.0
9.301 0.000 0.000
0.000 9.301 0.000
0.000 0.000 3.506
In Sb Pb
4 2 4
Cartesian
1.114 3.537 0.000
3.537 8.187 0.000
5.764 1.114 0.000
8.187 5.764 0.000
0.000 0.000 1.753
4.651 4.651 1.753
1.687 6.337 1.753
2.964 1.687 1.753
6.337 7.614 1.753
7.614 2.964 1.753
```

Results
E: -3.283 eV per atom
relative energy among the computed polymorphs: 15 meV per atom
symmetry: P4/mbm

---

Below is crystalline Rb2HgBr6 at its relaxed geometry, with properties calculated at the PBE level.

Structure (POSCAR):
```
Rb2HgBr6
1.0
7.480 0.000 0.000
0.000 9.532 0.000
-4.954 0.000 10.431
Rb Hg Br
4 2 12
Cartesian
0.299 0.848 2.831
-2.179 3.918 8.046
4.704 5.614 2.385
2.227 8.684 7.600
3.740 0.000 0.000
1.263 4.766 5.215
-3.361 1.159 9.853
-0.884 3.607 4.638
-2.684 6.747 10.323
-0.207 7.551 5.107
1.099 6.885 2.550
-1.378 7.413 7.765
3.903 2.119 2.666
1.426 2.647 7.881
2.732 1.981 5.324
5.210 2.785 0.108
3.409 5.925 5.793
5.886 8.373 0.578
```

Results
E: -2.252 eV per atom
symmetry: P2_1/c

---

Below is crystalline SiAgHg2 at its relaxed geometry, with properties calculated at the PBE level.

Structure (POSCAR):
```
SiAgHg2
1.0
4.321 0.000 0.000
0.000 4.321 0.000
0.000 0.000 8.732
Si Ag Hg
2 2 4
Cartesian
0.000 0.000 0.000
2.161 2.161 4.366
0.000 0.000 4.366
2.161 2.161 0.000
0.000 2.161 2.183
0.000 2.161 6.549
2.161 0.000 2.183
2.161 0.000 6.549
```

Results
E: -1.844 eV per atom
symmetry: I4/mmm

---

Below is crystalline BiAsRu2F at its relaxed geometry, with properties calculated at the PBE level.

Structure (POSCAR):
```
BiAsRu2F
1.0
5.186 0.000 0.000
0.000 5.186 0.000
0.000 0.000 5.349
Bi As Ru F
1 1 2 1
Cartesian
0.000 0.000 0.000
0.000 0.000 2.674
0.000 2.593 0.000
2.593 0.000 0.000
2.593 2.593 2.674
```

Results
E: -4.185 eV per atom
relative energy among the computed polymorphs: 822 meV per atom
symmetry: P4/mmm

---

Below is crystalline Dy5PSe4 at its relaxed geometry, with properties calculated at the PBE level.

Structure (POSCAR):
```
Dy5PSe4
1.0
-2.023 2.023 14.506
2.023 -2.023 14.506
2.023 2.023 -14.506
Dy P Se
5 1 4
Cartesian
0.000 0.000 0.000
0.000 0.000 5.941
0.000 0.000 11.807
0.000 0.000 17.205
0.000 0.000 23.072
0.000 0.000 14.506
0.000 0.000 2.961
0.000 0.000 8.825
0.000 0.000 20.188
0.000 0.000 26.051
```

Results
E: -5.995 eV per atom
symmetry: I4/mmm

---

Below is crystalline Ac3Pr2Y7 at its relaxed geometry, with properties calculated at the PBE level.

Structure (POSCAR):
```
Ac3Pr2Y7
1.0
3.735 0.000 0.000
0.000 5.923 0.000
1.856 1.017 19.662
Ac Pr Y
3 2 7
Cartesian
0.000 0.000 0.000
1.866 1.990 7.039
3.725 4.950 12.623
1.855 1.992 14.040
3.736 4.947 5.622
1.853 4.977 16.336
1.862 1.989 10.672
1.870 4.909 2.788
1.868 2.962 0.000
3.722 2.031 16.874
3.730 4.951 8.991
3.739 1.963 3.326
```

Results
formation energy from the elements: 0.10 eV per atom
E: -5.495 eV per atom
symmetry: P-1

---

Below is crystalline Sc3ReIr at its relaxed geometry, with properties calculated at the PBE level.

Structure (POSCAR):
```
Sc3ReIr
1.0
4.901 0.000 0.000
0.000 4.901 0.000
0.000 0.000 4.901
Sc Re Ir
3 1 1
Cartesian
0.000 0.000 2.451
0.000 2.451 0.000
2.451 0.000 0.000
2.451 2.451 2.451
0.000 0.000 0.000
```

Results
formation energy from the elements: 0.48 eV per atom
E: -7.578 eV per atom
relative energy among the computed polymorphs: 0 meV per atom
symmetry: Pm-3m

---

Below is crystalline Na3Tl3Ge at its relaxed geometry, with properties calculated at the PBE level.

Structure (POSCAR):
```
Na3Tl3Ge
1.0
15.200 0.000 0.000
0.000 4.820 0.000
0.000 0.000 10.989
Na Tl Ge
12 12 4
Cartesian
0.595 1.205 1.143
2.245 3.615 3.980
3.490 3.615 7.512
4.110 1.205 2.018
5.355 1.205 9.474
7.005 3.615 6.637
8.195 1.205 4.352
9.845 3.615 1.514
11.090 3.615 8.970
11.710 1.205 3.476
12.955 1.205 7.009
14.605 3.615 9.846
0.273 3.615 6.817
1.628 1.205 9.004
2.691 3.615 0.071
4.909 1.205 5.565
5.972 3.615 3.510
7.327 1.205 1.323
7.873 3.615 9.666
9.228 1.205 7.479
10.291 3.615 5.423
12.509 1.205 10.918
13.572 3.615 1.984
14.927 1.205 4.171
2.051 1.205 6.073
5.549 3.615 0.579
9.651 1.205 10.410
13.149 3.615 4.915
```

Results
formation energy from the elements: -0.05 eV per atom
E: -2.291 eV per atom
symmetry: Pnma